This record from the Alexandria database describes a relaxed NiPtRh4 crystal. The functional is GGA-PBE.

Values from the calculation:
Volume ... 175 Å³/cell
Energy relative to the lowest polymorph listed for this composition ... 0.0 meV per atom

abc: 3.956 5.326 8.290
angles: 90.00 90.00 90.00
Space group Immm (No. 71)
One atom of each set of equivalent atoms:
1 Ni 0.000 0.000 0.000 x2
2 Pt 0.000 0.500 0.000 x2
3 Rh 0.000 0.260 0.344 x8



This record from the Alexandria database describes a relaxed Sm6DyHo4 crystal. The functional is GGA-PBE.

Values from the calculation:
Volume ... 750 Å³/cell
Energy relative to the lowest polymorph listed for this composition ... 186.7 meV per atom

abc: 6.619 6.619 17.127
angles: 90.00 90.00 90.00
Space group I-42m (No. 121)
One atom of each set of equivalent atoms:
1 Sm 0.000 0.500 0.000 x4
2 Sm 0.189 0.189 0.176 x8
3 Dy 0.000 0.000 0.000 x2
4 Ho 0.179 0.179 0.372 x8



This record from the Alexandria database describes a relaxed Ca8Bi5Sb crystal. The functional is GGA-PBE.

Values from the calculation:
Formation energy without anion corrections ... -12.15 eV per formula unit
Volume ... 904 Å³/cell

abc: 9.658 9.658 9.689
angles: 90.00 90.00 90.00
Space group I-4 (No. 82)
One atom of each set of equivalent atoms:
1 Ca 0.073 0.319 0.448 x8
2 Ca 0.074 0.173 0.796 x8
3 Bi 0.000 0.500 0.750 x2
4 Bi 0.123 0.249 0.122 x8
5 Sb 0.000 0.000 0.500 x2



This record from the Alexandria database describes a relaxed AgHg2Ir crystal. The functional is GGA-PBE.

Values from the calculation:
Volume ... 168 Å³/cell
Energy relative to the lowest polymorph listed for this composition ... 5.7 meV per atom

abc: 2.981 4.610 12.200
angles: 90.00 90.00 90.00
Space group Imm2 (No. 44)
One atom of each set of equivalent atoms:
1 Ag 0.000 0.000 0.000 x2
2 Hg 0.000 0.000 0.392 x2
3 Hg 0.000 0.500 0.183 x2
4 Ir 0.000 0.500 0.696 x2



This record from the Alexandria database describes a relaxed ZrInMo2 crystal. The functional is GGA-PBE.

Values from the calculation:
E ... -8.05 eV per atom
Volume ... 77 Å³/cell

abc: 2.909 4.820 5.520
angles: 90.00 98.13 90.00
Space group P2/m (No. 10)
One atom of each set of equivalent atoms:
1 Zr 0.000 0.000 0.000 x1
2 In 0.500 0.000 0.500 x1
3 Mo 0.302 0.500 0.785 x2



This record from the Alexandria database describes a relaxed ZrCd2Os crystal. The functional is GGA-PBE.

Values from the calculation:
Volume ... 228 Å³/cell
Energy relative to the lowest polymorph listed for this composition ... 366.7 meV per atom

abc: 2.9487 2.9487 30.3148
angles: 90.00 90.00 120.00
Space group R-3m (No. 166, hexagonal axes)
One atom of each set of equivalent atoms:
1 Zr 0.0000 0.0000 0.0000 x3
2 Cd 0.0000 0.0000 0.2439 x6
3 Os 0.0000 0.0000 0.5000 x3



Which value of volume does entry 4 give?
168 Å³/cell